VASP calculation (GGA+U) on Li2CoSiO4 after structural relaxation.

Unit cell a=5.0117 b=5.3964 c=8.0562 alpha=90.00 beta=128.30 gamma=90.00
Sites, in units of the cell vectors:
Li1 0.0000 0.1565 0.0000
Li2 0.0000 0.8435 0.5000
Li3 0.2507 0.3235 0.7519
Li4 0.2507 0.6765 0.2519
Co1 0.7426 0.3298 0.2451
Co2 0.7426 0.6702 0.7451
Si1 0.4927 0.1735 0.4999
Si2 0.4927 0.8265 0.9999
O1 0.1620 0.1807 0.4990
O2 0.1620 0.8193 0.9990
O3 0.3832 0.3166 0.2835
O4 0.3832 0.6834 0.7835
O5 0.5996 0.1168 0.0008
O6 0.5996 0.8832 0.5008
O7 0.8163 0.3162 0.7158
O8 0.8163 0.6838 0.2158

Values from the calculation:
excess energy over the best structure of this formula in the dataset = 0.000 eV/atom
space-group type = Pc, No. 7
E_tot = -6.46 eV/atom
mass density = 3.2 Mg/m³